# PBE Sr2MnSiMo, optimized geometry
data_Sr2MnSiMo
_chemical_formula_sum 'Sr2 Mn1 Si1 Mo1'
_space_group_name_H-M_alt 'P 1'
_space_group_IT_number 1
_cell_length_a 6.0501
_cell_length_b 4.5942
_cell_length_c 6.0501
_cell_angle_alpha 90.00
_cell_angle_beta 90.00
_cell_angle_gamma 90.00
loop_
_space_group_symop_operation_xyz
'x,y,z'
loop_
_atom_site_label
_atom_site_type_symbol
_atom_site_fract_x
_atom_site_fract_y
_atom_site_fract_z
Sr1 Sr 0.0000 0.0000 0.5000
Sr2 Sr 0.5000 0.0000 0.0000
Mo1 Mo 0.5000 0.5000 0.5000
Mn1 Mn 0.0000 0.5000 0.0000
Si1 Si 0.0000 0.0000 0.0000
# Magnetic moment = 8.59 Bohr magnetons per cell
# Offset from the most stable computed form = 0 kJ/mol of formula units
# Energy relative to the elements, uncorrected = 937 meV/atom
# Calculated total energy = -24.10 eV/f.u.



# PBE GaAs2PtBr, optimized geometry
data_GaAs2PtBr
_chemical_formula_sum 'Ga1 As2 Pt1 Br1'
_space_group_name_H-M_alt 'P 1'
_space_group_IT_number 1
_cell_length_a 4.8465
_cell_length_b 4.8465
_cell_length_c 5.6878
_cell_angle_alpha 90.00
_cell_angle_beta 90.00
_cell_angle_gamma 90.00
loop_
_space_group_symop_operation_xyz
'x,y,z'
loop_
_atom_site_label
_atom_site_type_symbol
_atom_site_fract_x
_atom_site_fract_y
_atom_site_fract_z
As1 As 0.0000 0.5000 0.0000
As2 As 0.5000 0.0000 0.0000
Ga1 Ga 0.5000 0.5000 0.5000
Br1 Br 0.0000 0.0000 0.5000
Pt1 Pt 0.0000 0.0000 0.0000
# Magnetic moment = 0.00 Bohr magnetons per cell
# Offset from the most stable computed form = 0 kJ/mol of formula units
# Energy relative to the elements, uncorrected = 349 meV/atom
# Calculated total energy = -18.30 eV/f.u.



# PBE BaAlCo2Ag, optimized geometry
data_BaAlCo2Ag
_chemical_formula_sum 'Ba1 Al1 Co2 Ag1'
_space_group_name_H-M_alt 'P 1'
_space_group_IT_number 1
_cell_length_a 4.9111
_cell_length_b 5.7971
_cell_length_c 4.9111
_cell_angle_alpha 90.00
_cell_angle_beta 90.00
_cell_angle_gamma 90.00
loop_
_space_group_symop_operation_xyz
'x,y,z'
loop_
_atom_site_label
_atom_site_type_symbol
_atom_site_fract_x
_atom_site_fract_y
_atom_site_fract_z
Co1 Co 0.0000 0.0000 0.5000
Co2 Co 0.5000 0.0000 0.0000
Ba1 Ba 0.0000 0.0000 0.0000
Ag1 Ag 0.0000 0.5000 0.0000
Al1 Al 0.5000 0.5000 0.5000
# Magnetic moment = 1.98 Bohr magnetons per cell
# Calculated total energy = -13.22 eV/f.u.
# ΔE_f = 1.901 eV/atom



# PBE Li2Tb2ThTl2, optimized geometry
data_Li2Tb2ThTl2
_chemical_formula_sum 'Li2 Tb2 Th1 Tl2'
_space_group_name_H-M_alt 'P 1'
_space_group_IT_number 1
_cell_length_a 4.8670
_cell_length_b 4.8670
_cell_length_c 9.3917
_cell_angle_alpha 74.98
_cell_angle_beta 74.98
_cell_angle_gamma 60.00
loop_
_space_group_symop_operation_xyz
'x,y,z'
loop_
_atom_site_label
_atom_site_type_symbol
_atom_site_fract_x
_atom_site_fract_y
_atom_site_fract_z
Li1 Li 0.5946 0.5946 0.2163
Li2 Li 0.4054 0.4054 0.7837
Tb1 Tb 0.1284 0.1284 0.6147
Tb2 Tb 0.8716 0.8716 0.3853
Th1 Th 0.0000 0.0000 0.0000
Tl1 Tl 0.7378 0.7378 0.7865
Tl2 Tl 0.2622 0.2622 0.2135
# Magnetic moment = 0.00 Bohr magnetons per cell
# Calculated total energy = -26.02 eV/f.u.
# ΔE_f = -0.111 eV/atom



# PBE Mg6ZnCr, optimized geometry
data_Mg6ZnCr
_chemical_formula_sum 'Mg6 Zn1 Cr1'
_space_group_name_H-M_alt 'P 1'
_space_group_IT_number 1
_cell_length_a 6.1664
_cell_length_b 6.1664
_cell_length_c 4.9599
_cell_angle_alpha 90.00
_cell_angle_beta 90.00
_cell_angle_gamma 120.02
loop_
_space_group_symop_operation_xyz
'x,y,z'
loop_
_atom_site_label
_atom_site_type_symbol
_atom_site_fract_x
_atom_site_fract_y
_atom_site_fract_z
Mg1 Mg 0.8347 0.6686 0.5000
Mg2 Mg 0.3314 0.1653 0.5000
Mg3 Mg 0.6617 0.8349 0.0000
Mg4 Mg 0.1651 0.3383 0.0000
Mg5 Mg 0.6698 0.3302 0.0000
Mg6 Mg 0.1707 0.8293 0.0000
Zn1 Zn 0.8342 0.1658 0.5000
Cr1 Cr 0.3325 0.6675 0.5000
# Magnetic moment = 4.40 Bohr magnetons per cell
# Offset from the most stable computed form = 3 kJ/mol of formula units
# Calculated total energy = -19.52 eV/f.u.
# ΔE_f = 0.118 eV/atom



# PBE PmDy2Ag, optimized geometry
data_PmDy2Ag
_chemical_formula_sum 'Pm1 Dy2 Ag1'
_space_group_name_H-M_alt 'P 1'
_space_group_IT_number 1
_cell_length_a 3.6781
_cell_length_b 5.4942
_cell_length_c 5.4942
_cell_angle_alpha 90.00
_cell_angle_beta 90.00
_cell_angle_gamma 90.00
loop_
_space_group_symop_operation_xyz
'x,y,z'
loop_
_atom_site_label
_atom_site_type_symbol
_atom_site_fract_x
_atom_site_fract_y
_atom_site_fract_z
Pm1 Pm 0.5000 0.5000 0.5000
Ag1 Ag 0.5000 0.0000 0.0000
Dy1 Dy 0.0000 0.0000 0.5000
Dy2 Dy 0.0000 0.5000 0.0000
# Magnetic moment = 0.00 Bohr magnetons per cell
# Offset from the most stable computed form = 58 kJ/mol of formula units
# Calculated total energy = -16.73 eV/f.u.
# ΔE_f = 0.019 eV/atom



# PBE Fe4TcRh, optimized geometry
data_Fe4TcRh
_chemical_formula_sum 'Fe4 Tc1 Rh1'
_space_group_name_H-M_alt 'P 1'
_space_group_IT_number 1
_cell_length_a 4.6819
_cell_length_b 4.6819
_cell_length_c 4.6819
_cell_angle_alpha 60.00
_cell_angle_beta 60.00
_cell_angle_gamma 60.00
loop_
_space_group_symop_operation_xyz
'x,y,z'
loop_
_atom_site_label
_atom_site_type_symbol
_atom_site_fract_x
_atom_site_fract_y
_atom_site_fract_z
Fe1 Fe 0.3751 0.3751 0.3751
Fe2 Fe 0.3751 0.8747 0.3751
Fe3 Fe 0.3751 0.3751 0.8747
Fe4 Fe 0.8747 0.3751 0.3751
Rh1 Rh 0.7500 0.7500 0.7500
Tc1 Tc 0.0000 0.0000 0.0000
# Magnetic moment = 6.32 Bohr magnetons per cell
# Calculated total energy = -51.47 eV/f.u.
# ΔE_f = 0.016 eV/atom



# PBE PrHoTmSc, optimized geometry
data_PrHoTmSc
_chemical_formula_sum 'Pr1 Ho1 Tm1 Sc1'
_space_group_name_H-M_alt 'P 1'
_space_group_IT_number 1
_cell_length_a 5.5640
_cell_length_b 5.5640
_cell_length_c 5.5640
_cell_angle_alpha 60.00
_cell_angle_beta 60.00
_cell_angle_gamma 60.00
loop_
_space_group_symop_operation_xyz
'x,y,z'
loop_
_atom_site_label
_atom_site_type_symbol
_atom_site_fract_x
_atom_site_fract_y
_atom_site_fract_z
Pr1 Pr 0.7500 0.7500 0.7500
Sc1 Sc 0.0000 0.0000 0.0000
Tm1 Tm 0.5000 0.5000 0.5000
Ho1 Ho 0.2500 0.2500 0.2500
# Magnetic moment = 0.00 Bohr magnetons per cell
# Offset from the most stable computed form = 16 kJ/mol of formula units
# Calculated total energy = -19.75 eV/f.u.
# ΔE_f = 0.102 eV/atom